A relaxed structure of BaTcBr2, computed with PBE-GGA.

Results
Crystal system: cubic
Formation energy without anion corrections, meV/atom: 159
Symmetry: F-43m, No. 216
D(E_F), states/eV/atom: 1.577

Unit cell a=5.6537 b=5.6537 c=5.6537 alpha=60.00 beta=60.00 gamma=60.00
Atoms (fractional coordinates):
Ba1 0.0000 0.0000 0.0000
Tc1 0.7500 0.7500 0.7500
Br1 0.2500 0.2500 0.2500
Br2 0.5000 0.5000 0.5000